(1)
Entry from the Alexandria database: a relaxed BaIn2W crystal (PBE-GGA).

Cell: 5.3398 5.3398 8.1607 Å, 65.60 65.60 33.99°
With the nearest neighbours (Å) after each atom.
Positions (direct):
In 0.0132 0.0132 0.9580  2 W 2.85, 2 In 3.12
In 0.7955 0.7955 0.6073  3 W 2.77-2.88
Ba 0.1850 0.1850 0.2645  2 Ba 3.12, 2 W 3.39
W 0.5063 0.5063 0.6701  5 In 2.77-2.88

Computed properties:
Energy relative to the elements: 0.5930 eV per atom
Calculated volume: 29.333 Å³ per atom
Total moment: 0.0 μB/f.u.

(2)
Entry from the Alexandria database: a relaxed BaInW2 crystal (PBE-GGA).

Cell: 5.1387 3.3319 6.5324 Å, 81.62 90.00 90.00°
With the nearest neighbours (Å) after each atom.
Positions (direct):
W 0.0000 0.9577 0.8879  2 W 2.43-2.45
In 0.5000 0.7500 0.7500  4 W 2.84
W 0.0000 0.5423 0.6121  2 W 2.43-2.45
Ba 0.5000 0.2500 0.2500  2 Ba 3.33, 2 In 3.44, 4 W 3.72

Computed properties:
Energy relative to the elements: 0.9328 eV per atom
Calculated volume: 27.663 Å³ per atom
Total moment: 0.0 μB/f.u.